1.
This record from the Alexandria database describes a geometry-optimized As2PO structure. The functional is PBE.

## Properties
Its spin magnetization is 0.00 Bohr magnetons per cell. The value obtained for the polymorph energy (0 for the lowest one) is 0.000 eV per atom. The calculation puts the total energy at -4.801 eV per atom. For the formation energy from raw total energies, the calculation gives 2.7 kcal/mol of atoms.

a = 5.9034 Å, b = 5.9034 Å, c = 5.9034 Å
α = 119.10°, β = 119.10°, γ = 91.56°
Fractional coordinates of all 8 atoms:
As (0.0894, 0.6250, 0.9644)
As (0.3750, 0.3394, 0.4644)
As (0.6606, 0.1250, 0.0356)
As (0.8750, 0.9106, 0.5356)
P (0.2500, 0.7500, 0.5000)
P (0.5000, 0.5000, 0.0000)
O (0.0000, 0.0000, 0.0000)
O (0.7500, 0.2500, 0.5000)

2.
This record from the Alexandria database describes a geometry-optimized AsP2O structure. The functional is PBE.

## Properties
Its spin magnetization is 0.00 Bohr magnetons per cell. The value obtained for the polymorph energy (0 for the lowest one) is 0.398 eV per atom. The calculation puts the total energy at -4.515 eV per atom. For the formation energy from raw total energies, the calculation gives 13.7 kcal/mol of atoms.

a = 4.2281 Å, b = 4.2281 Å, c = 4.2281 Å
α = 60.00°, β = 60.00°, γ = 60.00°
Fractional coordinates of all 4 atoms:
As (0.0000, 0.0000, 0.0000)
P (0.2500, 0.2500, 0.2500)
P (0.7500, 0.7500, 0.7500)
O (0.5000, 0.5000, 0.5000)